(1)
Computed, not measured: a geometry-optimized Sr6InPt2 structure at the GGA-PBE level of DFT.

Lattice parameters (Å, degrees): 9.3853 9.3853 9.3853 113.93 111.39 103.28
Atoms (fractional coordinates):
Sr  0.0471  0.2416  0.8055
Sr  0.1761  0.2907  0.4668
Sr  0.1761  0.7093  0.8854
Sr  0.3404  0.0199  0.6794
Sr  0.3404  0.6610  0.3206
Sr  0.4361  0.2416  0.1945
Sr  0.5639  0.7584  0.8055
Sr  0.6596  0.3390  0.6794
Sr  0.6596  0.9801  0.3206
Sr  0.8239  0.2907  0.1146
Sr  0.8239  0.7093  0.5332
Sr  0.9529  0.7584  0.1945
In  0.0000  0.0000  0.0000
In  0.5000  0.5000  0.0000
Pt  0.1273  0.6273  0.5000
Pt  0.3121  0.0000  0.3121
Pt  0.6879  0.0000  0.6879
Pt  0.8727  0.3727  0.5000

Output
E_tot: -3.31 eV/atom
total moment: 0.001 μB/atom
theoretical density: 5.429 g/cm3
formation enthalpy at 0 K: -468 kJ/mol of formula units
SG: No. 71



(2)
Computed, not measured: a geometry-optimized Hf2NbSn2 structure at the GGA-PBE level of DFT.

Lattice parameters (Å, degrees): 8.2395 8.2395 5.6310 90.00 90.00 145.02
Atoms (fractional coordinates):
Hf  0.1323  0.8677  0.5000
Hf  0.3360  0.6640  0.4994
Hf  0.6640  0.3360  0.9994
Hf  0.8677  0.1323  0.0000
Nb  0.0544  0.9456  0.0000
Nb  0.9456  0.0544  0.5000
Sn  0.2525  0.7475  0.9996
Sn  0.5004  0.4996  0.2509
Sn  0.4996  0.5004  0.7509
Sn  0.7475  0.2525  0.4996

Output
E_tot: -7.71 eV/atom
distance to the lowest polymorph of the same formula: 0.115 eV/atom
total moment: 0.000 μB/atom
theoretical density: 10.415 g/cm3
formation enthalpy at 0 K: -56 kJ/mol of formula units
SG: No. 36



(3)
Computed, not measured: a geometry-optimized La2NbPd structure at the GGA-PBE level of DFT.

Lattice parameters (Å, degrees): 5.2548 5.2548 5.2548 60.00 60.00 60.00
Atoms (fractional coordinates):
La  0.2500  0.2500  0.2500
La  0.7500  0.7500  0.7500
Nb  0.0000  0.0000  0.0000
Pd  0.5000  0.5000  0.5000

Output
E_tot: -6.20 eV/atom
distance to the lowest polymorph of the same formula: 0.000 eV/atom
total moment: 0.496 μB/atom
theoretical density: 7.722 g/cm3
formation enthalpy at 0 K: 30 kJ/mol of formula units
SG: No. 225